1.
DFT (PBE) results for a relaxed Cs2RbZnF crystal.

Output
**Volume**: 217 Å³ per cell
**E_form (uncorrected)**: -0.923 eV/atom
**Magnetic moment**: 0.0 μB per formula unit
**E**: -2.087 eV/atom

a = 6.1129 Å, b = 6.1129 Å, c = 5.8085 Å
α = 90.00°, β = 90.00°, γ = 90.00°
With the nearest neighbours (Å) after each atom.
Space group P4/mmm (No. 123)
One atom of each set of equivalent atoms:
Cs 0.0000 0.5000 0.0000 x2  2 F 3.06
Rb 0.0000 0.0000 0.5000 x1  2 F 2.90
Zn 0.5000 0.5000 0.5000 x1  8 Cs 4.22, 4 Rb 4.32
F 0.0000 0.0000 0.0000 x1  2 Rb 2.90, 4 Cs 3.06

2.
DFT (PBE) results for a relaxed Cs3Rb3ZnF8 crystal.

Output
**Volume**: 1122 Å³ per cell
**E_form (uncorrected)**: -2.589 eV/atom
**Magnetic moment**: 0.0 μB per formula unit
**E**: -4.036 eV/atom

a = 7.9963 Å, b = 7.9963 Å, c = 20.2707 Å
α = 90.00°, β = 90.00°, γ = 120.00°
With the nearest neighbours (Å) after each atom.
Space group R-3m (No. 166, hexagonal axes)
One atom of each set of equivalent atoms:
Cs 0.0000 0.5000 0.0000 x9  6 F 2.94-3.01
Rb 0.0000 0.5000 0.5000 x9  6 F 2.79-2.89
Zn 0.0000 0.0000 0.5000 x3  6 F 2.14
F 0.0000 0.0000 0.2438 x6  3 Rb 2.79, 3 Cs 2.94
F 0.0785 0.5393 0.2268 x18  1 Zn 2.14